No. 1
This record from the Alexandria database describes crystalline Ce2TlZn at its relaxed geometry. The functional is PBE-GGA.

Summary:
The space-group type is No. 166. For the volume, the calculation gives 100.0 Å³/cell. For the calculated formation energy, the calculation gives -0.20 eV/f.u.

a b c (Å): 3.2677 3.2677 10.9721
angles (deg): 81.44 81.44 60.00
With the nearest neighbours (Å) after each atom.
Atoms (fractional coordinates):
Ce1 0.7435 0.7435 0.7694  3 Zn 3.13, 6 Ce 3.27, 3 Tl 3.47
Tl1 0.5000 0.5000 0.5000  6 Tl 3.27, 6 Ce 3.47
Ce2 0.2565 0.2565 0.2306  3 Zn 3.13, 6 Ce 3.27, 3 Tl 3.47
Zn1 0.0000 0.0000 0.0000  6 Ce 3.13, 6 Zn 3.27


No. 2
This record from the Alexandria database describes crystalline Pa2TcSn at its relaxed geometry. The functional is PBE-GGA.

Summary:
Its energy above the lowest structure with this stoichiometry is 0 kJ/mol of formula units. The space-group type is No. 123. For the volume, the calculation gives 90.7 Å³/cell. For the calculated formation energy, the calculation gives -1.20 eV/f.u.

a b c (Å): 3.2281 3.2281 8.7014
angles (deg): 90.00 90.00 90.00
With the nearest neighbours (Å) after each atom.
Atoms (fractional coordinates):
Pa1 0.0000 0.0000 0.7871  4 Tc 2.94, 4 Pa 3.23
Tc1 0.5000 0.5000 0.0000  8 Pa 2.94, 4 Tc 3.23
Sn1 0.5000 0.5000 0.5000  4 Sn 3.23, 8 Pa 3.38
Pa2 0.0000 0.0000 0.2129  4 Tc 2.94, 4 Pa 3.23


No. 3
This record from the Alexandria database describes crystalline Tb6Pr3Mg at its relaxed geometry. The functional is PBE-GGA.

Summary:
Its energy above the lowest structure with this stoichiometry is 68 kJ/mol of formula units. The space-group type is No. 148. For the volume, the calculation gives 667.6 Å³/cell. For the calculated formation energy, the calculation gives 1.86 eV/f.u.

a b c (Å): 10.4809 10.4809 10.4809
angles (deg): 52.34 52.34 52.34
With the nearest neighbours (Å) after each atom.
Atoms (fractional coordinates):
Tb1 0.2955 0.9734 0.4123  6 Tb 3.26-3.64, 3 Pr 3.53-3.55
Pr1 0.7294 0.4235 0.8468  1 Mg 3.43, 5 Pr 3.43-3.74, 5 Tb 3.50-3.56
Tb2 0.4123 0.2955 0.9734  6 Tb 3.26-3.64, 3 Pr 3.53-3.55
Tb3 0.5877 0.7045 0.0266  6 Tb 3.26-3.64, 3 Pr 3.53-3.55
Tb4 0.1148 0.7010 0.8625  6 Tb 3.26-3.64, 1 Mg 3.48, 2 Pr 3.50-3.56
Tb5 0.7010 0.8625 0.1148  6 Tb 3.26-3.64, 1 Mg 3.48, 2 Pr 3.50-3.56
Tb6 0.8625 0.1148 0.7010  6 Tb 3.26-3.64, 1 Mg 3.48, 2 Pr 3.50-3.56
Tb7 0.2990 0.1375 0.8852  6 Tb 3.26-3.64, 1 Mg 3.48, 2 Pr 3.50-3.56
Tb8 0.0266 0.5877 0.7045  6 Tb 3.26-3.64, 3 Pr 3.53-3.55
Pr2 0.8468 0.7294 0.4235  1 Mg 3.43, 5 Pr 3.43-3.74, 5 Tb 3.50-3.56
Tb9 0.1375 0.8852 0.2990  6 Tb 3.26-3.64, 1 Mg 3.48, 2 Pr 3.50-3.56
Mg1 0.0000 0.0000 0.0000  6 Pr 3.43, 6 Tb 3.48
Pr3 0.4235 0.8468 0.7294  1 Mg 3.43, 5 Pr 3.43-3.74, 5 Tb 3.50-3.56
Mg2 0.5000 0.5000 0.5000  12 Tb 3.73-3.98
Tb10 0.9734 0.4123 0.2955  6 Tb 3.26-3.64, 3 Pr 3.53-3.55
Pr4 0.5765 0.1532 0.2706  1 Mg 3.43, 5 Pr 3.43-3.74, 5 Tb 3.50-3.56
Tb11 0.8852 0.2990 0.1375  6 Tb 3.26-3.64, 1 Mg 3.48, 2 Pr 3.50-3.56
Pr5 0.2706 0.5765 0.1532  1 Mg 3.43, 5 Pr 3.43-3.74, 5 Tb 3.50-3.56
Tb12 0.7045 0.0266 0.5877  6 Tb 3.26-3.64, 3 Pr 3.53-3.55
Pr6 0.1532 0.2706 0.5765  1 Mg 3.43, 5 Pr 3.43-3.74, 5 Tb 3.50-3.56


No. 4
This record from the Alexandria database describes crystalline TiBC2 at its relaxed geometry. The functional is PBE-GGA.

Summary:
Its energy above the lowest structure with this stoichiometry is 574 kJ/mol of formula units. The space-group type is No. 225. For the volume, the calculation gives 33.4 Å³/cell. For the calculated formation energy, the calculation gives 6.56 eV/f.u.

a b c (Å): 3.6144 3.6144 3.6144
angles (deg): 60.00 60.00 60.00
With the nearest neighbours (Å) after each atom.
Atoms (fractional coordinates):
C1 0.2500 0.2500 0.2500  4 B 2.21, 4 Ti 2.21
Ti1 0.5000 0.5000 0.5000  8 C 2.21
B1 0.0000 0.0000 0.0000  8 C 2.21
C2 0.7500 0.7500 0.7500  4 B 2.21, 4 Ti 2.21


No. 5
This record from the Alexandria database describes crystalline Zn2CuTc at its relaxed geometry. The functional is PBE-GGA.

Summary:
Its energy above the lowest structure with this stoichiometry is 37 kJ/mol of formula units. The space-group type is No. 160. For the volume, the calculation gives 56.2 Å³/cell. For the calculated formation energy, the calculation gives 0.41 eV/f.u.

a b c (Å): 9.0084 9.0084 9.0084
angles (deg): 17.27 17.27 17.27
With the nearest neighbours (Å) after each atom.
Atoms (fractional coordinates):
Zn1 0.0020 0.0020 0.0020  9 Zn 2.70-2.84, 3 Tc 2.71
Tc1 0.7519 0.7519 0.7519  3 Cu 2.67, 6 Tc 2.70, 3 Zn 2.71
Cu1 0.4999 0.4999 0.4999  3 Zn 2.63, 3 Tc 2.67, 6 Cu 2.70
Zn2 0.2462 0.2462 0.2462  3 Cu 2.63, 9 Zn 2.70-2.84


No. 6
This record from the Alexandria database describes crystalline V4MoPt2 at its relaxed geometry. The functional is PBE-GGA.

Summary:
The space-group type is No. 139. For the volume, the calculation gives 129.2 Å³/cell. For the calculated formation energy, the calculation gives 5.13 eV/f.u.

a b c (Å): 4.5034 4.5034 7.1200
angles (deg): 71.56 71.56 90.00
With the nearest neighbours (Å) after each atom.
Atoms (fractional coordinates):
Mo1 0.0000 0.0000 0.0000  6 V 2.25-2.46
V1 0.8071 0.8071 0.3857  1 Mo 2.46, 1 Pt 2.47
V2 0.1929 0.1929 0.6143  1 Mo 2.46, 1 Pt 2.47
Pt1 0.3870 0.3870 0.2260  5 V 2.47-2.67
V3 0.5000 0.0000 0.0000  2 Mo 2.25
V4 0.0000 0.5000 0.0000  2 Mo 2.25
Pt2 0.6130 0.6130 0.7740  5 V 2.47-2.67


No. 7
This record from the Alexandria database describes crystalline NdMgPb at its relaxed geometry. The functional is PBE-GGA.

Summary:
The space-group type is No. 107. For the volume, the calculation gives 85.1 Å³/cell. For the calculated formation energy, the calculation gives -0.71 eV/f.u.

a b c (Å): 3.6512 3.6512 6.8885
angles (deg): 105.37 105.37 90.00
With the nearest neighbours (Å) after each atom.
Atoms (fractional coordinates):
Nd1 0.2817 0.2817 0.5635  4 Mg 3.44, 4 Pb 3.48, 4 Nd 3.65
Mg1 0.6041 0.6041 0.2082  4 Pb 3.14, 4 Nd 3.44
Pb1 0.9642 0.9642 0.9283  4 Mg 3.14, 4 Nd 3.48


No. 8
This record from the Alexandria database describes crystalline ReSeBr2 at its relaxed geometry. The functional is PBE-GGA.

Summary:
Its energy above the lowest structure with this stoichiometry is 520 kJ/mol of formula units. The space-group type is No. 225. For the volume, the calculation gives 84.0 Å³/cell.

a b c (Å): 4.9157 4.9157 4.9157
angles (deg): 60.00 60.00 60.00
With the nearest neighbours (Å) after each atom.
Atoms (fractional coordinates):
Br1 0.2500 0.2500 0.2500  4 Re 3.01, 4 Se 3.01
Re1 0.5000 0.5000 0.5000  8 Br 3.01
Br2 0.7500 0.7500 0.7500  4 Re 3.01, 4 Se 3.01
Se1 0.0000 0.0000 0.0000  8 Br 3.01


No. 9
This record from the Alexandria database describes crystalline Zn2PBr at its relaxed geometry. The functional is PBE-GGA.

Summary:
Its energy above the lowest structure with this stoichiometry is 253 kJ/mol of formula units. The space-group type is No. 123. For the volume, the calculation gives 75.3 Å³/cell.

a b c (Å): 3.2777 3.2777 7.0091
angles (deg): 90.00 90.00 90.00
With the nearest neighbours (Å) after each atom.
Atoms (fractional coordinates):
Br1 0.5000 0.5000 0.0000  8 Zn 3.12, 4 Br 3.28
P1 0.5000 0.5000 0.5000  8 Zn 2.71
Zn1 0.0000 0.0000 0.2990  4 P 2.71, 1 Zn 2.82
Zn2 0.0000 0.0000 0.7010  4 P 2.71, 1 Zn 2.82


No. 10
This record from the Alexandria database describes crystalline ReAs4 at its relaxed geometry. The functional is PBE-GGA.

Summary:
Its energy above the lowest structure with this stoichiometry is 115 kJ/mol of formula units. The space-group type is No. 229. For the volume, the calculation gives 105.6 Å³/cell. For the calculated formation energy, the calculation gives 3.14 eV/f.u.

a b c (Å): 5.1573 5.1573 5.1573
angles (deg): 109.47 109.47 109.47
With the nearest neighbours (Å) after each atom.
Atoms (fractional coordinates):
Re1 0.0000 0.0000 0.0000  8 As 2.58
As1 0.5000 0.5000 0.5000  2 Re 2.58
As2 0.0000 0.0000 0.5000  2 Re 2.58
As3 0.5000 0.0000 0.0000  2 Re 2.58
As4 0.0000 0.5000 0.0000  2 Re 2.58


No. 11
This record from the Alexandria database describes crystalline TaCdTe2N at its relaxed geometry. The functional is PBE-GGA.

Summary:
Its energy above the lowest structure with this stoichiometry is 0 kJ/mol of formula units. The space-group type is No. 123. For the volume, the calculation gives 123.8 Å³/cell.

a b c (Å): 5.6189 5.6189 3.9223
angles (deg): 90.00 90.00 90.00
With the nearest neighbours (Å) after each atom.
Atoms (fractional coordinates):
Te1 0.5000 0.0000 0.0000  2 Ta 2.81
Cd1 0.5000 0.5000 0.5000  8 Te 3.43
Te2 0.0000 0.5000 0.0000  2 Ta 2.81
N1 0.0000 0.0000 0.5000  2 Ta 1.96
Ta1 0.0000 0.0000 0.0000  2 N 1.96


No. 12
This record from the Alexandria database describes crystalline LaZr2RhAu at its relaxed geometry. The functional is PBE-GGA.

Summary:
The space-group type is No. 123. For the volume, the calculation gives 137.4 Å³/cell. For the calculated formation energy, the calculation gives 7.83 eV/f.u.

a b c (Å): 5.1240 5.2325 5.1240
angles (deg): 90.00 90.00 90.00
With the nearest neighbours (Å) after each atom.
Atoms (fractional coordinates):
Au1 0.0000 0.5000 0.0000  2 La 2.62
La1 0.0000 0.0000 0.0000  4 Zr 2.56, 2 Au 2.62
Rh1 0.5000 0.5000 0.5000  4 Au 3.62, 8 Zr 3.66
Zr1 0.5000 0.0000 0.0000  2 La 2.56
Zr2 0.0000 0.0000 0.5000  2 La 2.56